Entry from OQMD via LeMat-Bulk: a relaxed HgBiSeO crystal (PBE-GGA).

Output
- Energy relative to the lowest polymorph listed for this composition: 168.6 meV/atom
- Space-group type: P4/nmm (129)

POSCAR file:
```
HgBiSeO
1.0
4.0922 0.0000 0.0000
0.0000 4.0922 0.0000
0.0000 0.0000 10.0673
Hg Bi Se O
2 2 2 2
direct
0.2500 0.7500 0.0000 Hg
0.7500 0.2500 0.0000 Hg
0.2500 0.2500 0.3799 Bi
0.7500 0.7500 0.6201 Bi
0.2500 0.2500 0.7690 Se
0.7500 0.7500 0.2310 Se
0.2500 0.7500 0.5000 O
0.7500 0.2500 0.5000 O
```

Entry from OQMD via LeMat-Bulk: a relaxed Gd2TmCo2B2N3 crystal (PBE-GGA).

Output
- Total magnetization: 0.0 Bohr magnetons per cell
- Space-group type: I4/mmm (139)
- Calculated total energy: -7.8444 eV per atom

POSCAR file:
```
Gd2TmCo2B2N3
1.0
-1.7412 1.7412 9.8931
1.7412 -1.7412 9.8931
1.7412 1.7412 -9.8931
Gd Tm Co B N
2 1 2 2 3
direct
0.1238 0.1238 0.0000 Gd
0.8762 0.8762 0.0000 Gd
0.5000 0.5000 0.0000 Tm
0.2500 0.7500 0.5000 Co
0.7500 0.2500 0.5000 Co
0.3067 0.3067 0.0000 B
0.6933 0.6933 0.0000 B
0.0000 0.0000 0.0000 N
0.3831 0.3831 0.0000 N
0.6169 0.6169 0.0000 N
```

Entry from OQMD via LeMat-Bulk: a relaxed Dy2Si4Mo3 crystal (PBE-GGA).

Output
- Total magnetization: 0.0 Bohr magnetons per cell
- Space-group type: P2_1/c (14)
- Calculated total energy: -7.7237 eV per atom

POSCAR file:
```
Dy2Si4Mo3
1.0
6.8613 0.0000 0.0000
0.0000 6.9239 0.0000
-2.1991 0.0000 6.3916
Dy Si Mo
4 8 6
direct
0.1904 0.1695 0.0615 Dy
0.1904 0.3305 0.5615 Dy
0.8096 0.6695 0.4385 Dy
0.8096 0.8305 0.9385 Dy
0.0905 0.5448 0.8685 Si
0.0905 0.9552 0.3685 Si
0.4954 0.6317 0.6284 Si
0.4954 0.8683 0.1284 Si
0.5046 0.1317 0.8716 Si
0.5046 0.3683 0.3716 Si
0.9095 0.0448 0.6315 Si
0.9095 0.4552 0.1315 Si
0.2499 0.6625 0.2492 Mo
0.2499 0.8375 0.7492 Mo
0.5000 0.0000 0.5000 Mo
0.5000 0.5000 0.0000 Mo
0.7501 0.1625 0.2508 Mo
0.7501 0.3375 0.7508 Mo
```